No. 1
Here is Hf2FeOs after structural relaxation from OQMD. Energies are from GGA-PBE.

The structure in POSCAR format:
```
Hf2FeOs
1.0
4.527 0.000 0.000
0.000 6.402 0.000
0.000 0.000 13.583
Hf Os Fe
12 6 6
Direct
0.500 0.750 0.333
0.000 0.250 0.167
0.500 0.750 0.000
0.500 0.750 0.667
0.000 0.750 0.500
0.500 0.250 0.333
0.000 0.250 0.833
0.500 0.250 0.667
0.000 0.250 0.500
0.000 0.750 0.167
0.000 0.750 0.833
0.500 0.250 0.000
0.000 0.500 0.000
0.000 0.500 0.333
0.500 0.000 0.833
0.500 0.000 0.167
0.500 0.000 0.500
0.000 0.500 0.667
0.500 0.500 0.500
0.500 0.500 0.167
0.000 0.000 0.000
0.500 0.500 0.833
0.000 0.000 0.333
0.000 0.000 0.667
```

Computed properties:
For the relative energy among the computed polymorphs, the calculation gives 0 meV/atom.


No. 2
Here is Pm4SmTe5 after structural relaxation from OQMD. Energies are from GGA-PBE.

The structure in POSCAR format:
```
Pm4SmTe5
1.0
14.242 3.399 6.792
10.257 5.409 11.227
-12.205 -7.254 -7.678
Te Pm Sm
5 4 1
Direct
0.500 0.500 0.000
0.297 0.297 0.000
0.902 0.902 0.000
0.098 0.098 0.000
0.703 0.703 0.000
0.804 0.804 0.000
0.196 0.196 0.000
0.398 0.398 0.000
0.602 0.602 0.000
0.000 0.000 0.000
```

Computed properties:
Its electronic total energy is -5.345 eV per atom.


No. 3
Here is PmCuSi after structural relaxation from OQMD. Energies are from GGA-PBE.

The structure in POSCAR format:
```
PmCuSi
1.0
0.000 3.301 3.301
3.301 0.000 3.301
3.301 3.301 0.000
Pm Cu Si
1 1 1
Direct
0.000 0.000 0.000
0.250 0.250 0.250
0.750 0.750 0.750
```

Computed properties:
For the relative energy among the computed polymorphs, the calculation gives 909 meV/atom.


No. 4
Here is BiAu2 after structural relaxation from OQMD. Energies are from GGA-PBE.

The structure in POSCAR format:
```
BiAu2
1.0
0.000 4.032 4.032
4.032 0.000 4.032
4.032 4.032 0.000
Bi Au
2 4
Direct
0.000 0.000 0.000
0.250 0.250 0.250
0.125 0.625 0.625
0.625 0.625 0.125
0.625 0.125 0.625
0.625 0.625 0.625
```

Computed properties:
Its electronic total energy is -3.581 eV per atom.


No. 5
Here is Li2TaNbO4 after structural relaxation from OQMD. Energies are from GGA-PBE.

The structure in POSCAR format:
```
Li2TaNbO4
1.0
-0.994 -1.622 2.196
1.587 -1.221 -2.106
8.733 1.994 5.424
Ta Nb Li O
1 1 2 4
Direct
0.667 0.333 0.000
0.000 0.000 0.500
0.333 0.667 0.750
0.333 0.667 0.250
0.667 0.333 0.628
0.000 0.000 0.872
0.667 0.333 0.372
0.000 0.000 0.128
```

Computed properties:
Its electronic total energy is -8.050 eV per atom.